Version P
Here is an optimized crystal structure of YBeAl from Alexandria via LeMat-Bulk. Energies are from PBE.

Calculated values
Symmetry: P-6m2
Spin magnetization: 0.0 μB/cell

a = 4.2764 Å, b = 4.2764 Å, c = 3.6060 Å
α = 90.00°, β = 90.00°, γ = 120.00°
Closest atoms and distances in Å follow each position.
Element x y z (fractional)
Y 0.0000 0.0000 0.0000  6 Be 3.06, 6 Al 3.06
Be 0.3333 0.6667 0.5000  3 Al 2.47
Al 0.6667 0.3333 0.5000  3 Be 2.47

=====

Version Q
Here is an optimized crystal structure of YBeAl from Alexandria via LeMat-Bulk. Energies are from PBE.

Calculated values
Symmetry: I4mm
Spin magnetization: 0.0 μB/cell

a = 5.9722 Å, b = 5.9722 Å, c = 5.9722 Å
α = 149.65°, β = 149.65°, γ = 43.45°
Closest atoms and distances in Å follow each position.
Element x y z (fractional)
Y 0.0000 0.0000 0.0000  4 Be 2.97, 4 Y 3.13, 5 Al 3.18-3.27
Be 0.3211 0.3211 0.0000  4 Al 2.55
Al 0.7057 0.7057 0.0000  4 Be 2.55

=====

Version R
Here is an optimized crystal structure of YBeAl from Alexandria via LeMat-Bulk. Energies are from PBE.

Calculated values
Symmetry: C2/m
Spin magnetization: 0.0 μB/cell

a = 5.4765 Å, b = 5.4765 Å, c = 7.0556 Å
α = 128.43°, β = 128.43°, γ = 45.53°
Closest atoms and distances in Å follow each position.
Element x y z (fractional)
Y 0.0485 0.0485 0.3046  5 Be 2.91-3.07, 6 Al 3.02-3.24
Y 0.9515 0.9515 0.6954  5 Be 2.91-3.07, 6 Al 3.02-3.24
Be 0.3482 0.3482 0.2995  1 Be 2.39, 2 Al 2.50
Be 0.6518 0.6518 0.7005  1 Be 2.39, 2 Al 2.50
Al 0.3267 0.3267 0.8959  3 Be 2.50-2.71, 1 Al 2.74
Al 0.6733 0.6733 0.1041  3 Be 2.50-2.71, 1 Al 2.74

=====

Which structure loses on stability? version Q does.

=====

Version P
Here is an optimized crystal structure of YBeAl from Alexandria via LeMat-Bulk. Energies are from PBE.

Calculated values
Symmetry: Pnma
Spin magnetization: 0.0 μB/cell

a = 6.1622 Å, b = 4.2775 Å, c = 8.8440 Å
α = 90.00°, β = 90.00°, γ = 90.00°
Closest atoms and distances in Å follow each position.
Element x y z (fractional)
Y 0.1526 0.2500 0.0989  5 Al 2.90-3.24, 4 Be 2.98-3.05
Y 0.3474 0.7500 0.5989  5 Al 2.90-3.24, 4 Be 2.98-3.05
Y 0.6526 0.2500 0.4011  5 Al 2.90-3.24, 4 Be 2.98-3.05
Y 0.8474 0.7500 0.9011  5 Al 2.90-3.24, 4 Be 2.98-3.05
Be 0.0277 0.2500 0.7028  3 Al 2.52-2.61
Be 0.4723 0.7500 0.2028  3 Al 2.52-2.61
Be 0.5277 0.2500 0.7972  3 Al 2.52-2.61
Be 0.9723 0.7500 0.2972  3 Al 2.52-2.61
Al 0.1274 0.2500 0.4261  3 Be 2.52-2.61
Al 0.3726 0.7500 0.9261  3 Be 2.52-2.61
Al 0.6274 0.2500 0.0739  3 Be 2.52-2.61
Al 0.8726 0.7500 0.5739  3 Be 2.52-2.61

=====

Version Q
Here is an optimized crystal structure of YBeAl from Alexandria via LeMat-Bulk. Energies are from PBE.

Calculated values
Symmetry: Pmma
Spin magnetization: 0.0 μB/cell

a = 12.5198 Å, b = 3.8739 Å, c = 6.8651 Å
α = 90.00°, β = 90.00°, γ = 90.00°
Closest atoms and distances in Å follow each position.
Element x y z (fractional)
Y 0.0442 0.0000 0.2456  5 Be 2.88-2.92, 4 Al 3.21-3.22
Y 0.2500 0.0000 0.6282  5 Be 2.87-2.89, 6 Al 3.08-3.09
Y 0.4558 0.0000 0.2456  5 Be 2.88-2.92, 4 Al 3.21-3.22
Y 0.5442 0.0000 0.7544  5 Be 2.88-2.92, 4 Al 3.21-3.22
Y 0.7500 0.0000 0.3718  5 Be 2.87-2.89, 6 Al 3.08-3.09
Y 0.9558 0.0000 0.7544  5 Be 2.88-2.92, 4 Al 3.21-3.22
Be 0.0849 0.5000 0.5480  1 Be 2.22
Be 0.2500 0.0000 0.0469  6 Al 2.51-2.54
Be 0.4151 0.5000 0.5480  1 Be 2.22
Be 0.5849 0.5000 0.4520  1 Be 2.22
Be 0.7500 0.0000 0.9531  6 Al 2.51-2.54
Be 0.9151 0.5000 0.4520  1 Be 2.22
Al 0.1406 0.5000 0.9157  3 Be 2.54-2.62, 1 Al 2.74
Al 0.2500 0.5000 0.2802  4 Be 2.51-2.77
Al 0.3594 0.5000 0.9157  3 Be 2.54-2.62, 1 Al 2.74
Al 0.6406 0.5000 0.0843  3 Be 2.54-2.62, 1 Al 2.74
Al 0.7500 0.5000 0.7198  4 Be 2.51-2.77
Al 0.8594 0.5000 0.0843  3 Be 2.54-2.62, 1 Al 2.74

=====

Which structure loses on stability? version P does.

=====

Version P
Here is an optimized crystal structure of Y2BeAl from Alexandria via LeMat-Bulk. Energies are from PBE.

Calculated values
Symmetry: I-42d
Spin magnetization: 0.0 μB/cell

a = 6.3475 Å, b = 6.3475 Å, c = 6.3475 Å
α = 105.20°, β = 105.20°, γ = 118.40°
Closest atoms and distances in Å follow each position.
Element x y z (fractional)
Y 0.0896 0.6250 0.9646  2 Be 2.67
Y 0.3750 0.3396 0.4646  2 Be 2.67
Y 0.6604 0.1250 0.0354  2 Be 2.67
Y 0.8750 0.9104 0.5354  2 Be 2.67
Be 0.0000 0.0000 0.0000  4 Y 2.67
Be 0.7500 0.2500 0.5000  4 Y 2.67
Al 0.2500 0.7500 0.5000  4 Y 3.04, 2 Be 3.25
Al 0.5000 0.5000 0.0000  4 Y 3.04, 2 Be 3.25

=====

Version Q
Here is an optimized crystal structure of Y2BeAl from Alexandria via LeMat-Bulk. Energies are from PBE.

Calculated values
Symmetry: Fm-3m
Spin magnetization: 0.0 μB/cell

a = 4.9903 Å, b = 4.9903 Å, c = 4.9903 Å
α = 60.00°, β = 60.00°, γ = 60.00°
Closest atoms and distances in Å follow each position.
Element x y z (fractional)
Y 0.2500 0.2500 0.2500  4 Be 3.06, 4 Al 3.06
Y 0.7500 0.7500 0.7500  4 Be 3.06, 4 Al 3.06
Be 0.0000 0.0000 0.0000  8 Y 3.06
Al 0.5000 0.5000 0.5000  8 Y 3.06

=====

Version R
Here is an optimized crystal structure of Y2BeAl from Alexandria via LeMat-Bulk. Energies are from PBE.

Calculated values
Symmetry: P4mm
Spin magnetization: 0.0 μB/cell

a = 3.2511 Å, b = 3.2511 Å, c = 8.2512 Å
α = 90.00°, β = 90.00°, γ = 90.00°
Closest atoms and distances in Å follow each position.
Element x y z (fractional)
Y 0.0000 0.0000 0.0000  4 Be 3.03, 1 Al 3.17, 4 Y 3.25
Y 0.5000 0.5000 0.3458  4 Al 3.20, 4 Y 3.25, 1 Be 3.42
Be 0.5000 0.5000 0.7601  4 Al 2.59
Al 0.0000 0.0000 0.6156  4 Be 2.59

=====

Which structure loses on stability? version P does.

=====

Version P
Here is an optimized crystal structure of Y2BeAl from Alexandria via LeMat-Bulk. Energies are from PBE.

Calculated values
Symmetry: C2/m
Spin magnetization: 0.0 μB/cell

a = 4.8040 Å, b = 4.8040 Å, c = 6.2230 Å
α = 102.84°, β = 102.84°, γ = 44.09°
Closest atoms and distances in Å follow each position.
Element x y z (fractional)
Y 0.2432 0.2432 0.2340  3 Be 2.92-2.99, 3 Al 3.02-3.07
Y 0.7568 0.7568 0.7660  3 Be 2.92-2.99, 3 Al 3.02-3.07
Be 0.5000 0.5000 0.0000  6 Y 2.92-2.99
Al 0.0000 0.0000 0.5000  6 Y 3.02-3.07

=====

Version Q
Here is an optimized crystal structure of Y2BeAl from Alexandria via LeMat-Bulk. Energies are from PBE.

Calculated values
Symmetry: I-4m2
Spin magnetization: 0.0 μB/cell

a = 5.7996 Å, b = 5.7996 Å, c = 5.7996 Å
α = 137.09°, β = 137.09°, γ = 62.30°
Closest atoms and distances in Å follow each position.
Element x y z (fractional)
Y 0.0000 0.0000 0.0000  4 Be 3.00, 4 Al 3.26, 4 Y 3.26
Y 0.7500 0.2500 0.5000  4 Al 3.00, 4 Be 3.26, 4 Y 3.26
Be 0.5000 0.5000 0.0000  8 Y 3.00-3.26, 4 Al 3.26
Al 0.2500 0.7500 0.5000  8 Y 3.00-3.26, 4 Be 3.26

=====

Which structure loses on stability? version P does.

=====

Version P
Here is an optimized crystal structure of Y2BeAl from Alexandria via LeMat-Bulk. Energies are from PBE.

Calculated values
Symmetry: Imm2
Spin magnetization: 0.0 μB/cell

a = 5.9615 Å, b = 5.9615 Å, c = 5.9615 Å
α = 145.80°, β = 132.41°, γ = 59.90°
Closest atoms and distances in Å follow each position.
Element x y z (fractional)
Y 0.0000 0.0000 0.0000  4 Be 3.01, 2 Al 3.22, 2 Y 3.32
Y 0.7208 0.2208 0.5000  4 Al 3.07, 4 Be 3.24-3.43, 4 Y 3.32-3.37
Be 0.4572 0.4572 0.0000  2 Al 2.44
Al 0.2931 0.7931 0.5000  2 Be 2.44

=====

Version Q
Here is an optimized crystal structure of Y2BeAl from Alexandria via LeMat-Bulk. Energies are from PBE.

Calculated values
Symmetry: Amm2
Spin magnetization: 0.0 μB/cell

a = 4.2467 Å, b = 6.0600 Å, c = 6.0600 Å
α = 35.72°, β = 90.00°, γ = 90.00°
Closest atoms and distances in Å follow each position.
Element x y z (fractional)
Y 0.0000 0.0000 0.0000  4 Al 3.02, 3 Be 3.07-3.33
Y 0.5000 0.3030 0.3030  4 Be 3.01, 3 Al 3.04-3.36
Be 0.0000 0.7117 0.7117  2 Al 2.52
Al 0.5000 0.5942 0.5942  2 Be 2.52

=====

Version R
Here is an optimized crystal structure of Y2BeAl from Alexandria via LeMat-Bulk. Energies are from PBE.

Calculated values
Symmetry: Pmm2
Spin magnetization: 0.0 μB/cell

a = 3.4498 Å, b = 4.5832 Å, c = 5.9901 Å
α = 90.00°, β = 90.00°, γ = 90.00°
Closest atoms and distances in Å follow each position.
Element x y z (fractional)
Y 0.0000 0.0000 0.0000  2 Al 2.90-3.09, 4 Be 3.00
Y 0.5000 0.5000 0.3613  2 Be 2.94-3.05, 4 Al 3.01
Be 0.5000 0.5000 0.8520  6 Y 2.94-3.05
Al 0.0000 0.0000 0.5154  6 Y 2.90-3.09

=====

Version S
Here is an optimized crystal structure of Y2BeAl from Alexandria via LeMat-Bulk. Energies are from PBE.

Calculated values
Symmetry: R-3m
Spin magnetization: 0.0 μB/cell

a = 8.8615 Å, b = 8.8615 Å, c = 8.8615 Å
α = 23.46°, β = 23.46°, γ = 23.46°
Closest atoms and distances in Å follow each position.
Element x y z (fractional)
Y 0.2430 0.2430 0.2430  3 Be 2.87, 3 Al 3.13
Y 0.7570 0.7570 0.7570  3 Be 2.87, 3 Al 3.13
Be 0.5000 0.5000 0.5000  6 Y 2.87
Al 0.0000 0.0000 0.0000  6 Y 3.13

=====

Which structure loses on stability? version R does.

=====

Version P
Here is an optimized crystal structure of Y2BeAl from Alexandria via LeMat-Bulk. Energies are from PBE.

Calculated values
Symmetry: P4/mmm
Spin magnetization: 0.0 μB/cell

a = 3.4861 Å, b = 3.4861 Å, c = 7.1497 Å
α = 90.00°, β = 90.00°, γ = 90.00°
Closest atoms and distances in Å follow each position.
Element x y z (fractional)
Y 0.0000 0.0000 0.2313  4 Be 2.97, 4 Al 3.13, 1 Y 3.31
Y 0.0000 0.0000 0.7687  4 Be 2.97, 4 Al 3.13, 1 Y 3.31
Be 0.5000 0.5000 0.0000  8 Y 2.97
Al 0.5000 0.5000 0.5000  8 Y 3.13, 4 Al 3.49

=====

Version Q
Here is an optimized crystal structure of Y2BeAl from Alexandria via LeMat-Bulk. Energies are from PBE.

Calculated values
Symmetry: F-43m
Spin magnetization: 1.6 μB/cell

a = 4.9783 Å, b = 4.9783 Å, c = 4.9783 Å
α = 60.00°, β = 60.00°, γ = 60.00°
Closest atoms and distances in Å follow each position.
Element x y z (fractional)
Y 0.0000 0.0000 0.0000  4 Be 3.05, 4 Y 3.05
Y 0.2500 0.2500 0.2500  4 Al 3.05, 4 Y 3.05
Be 0.7500 0.7500 0.7500  4 Al 3.05, 4 Y 3.05
Al 0.5000 0.5000 0.5000  4 Be 3.05, 4 Y 3.05

=====

Which structure loses on stability? version Q does.

=====

Version P
Here is an optimized crystal structure of YBeAl3 from Alexandria via LeMat-Bulk. Energies are from PBE.

Calculated values
Symmetry: Pm-3m
Spin magnetization: 0.0 μB/cell

a = 4.5378 Å, b = 4.5378 Å, c = 4.5378 Å
α = 90.00°, β = 90.00°, γ = 90.00°
Closest atoms and distances in Å follow each position.
Element x y z (fractional)
Y 0.0000 0.0000 0.0000  12 Al 3.21
Be 0.5000 0.5000 0.5000  6 Al 2.27
Al 0.0000 0.5000 0.5000  2 Be 2.27
Al 0.5000 0.0000 0.5000  2 Be 2.27
Al 0.5000 0.5000 0.0000  2 Be 2.27

=====

Version Q
Here is an optimized crystal structure of YBeAl3 from Alexandria via LeMat-Bulk. Energies are from PBE.

Calculated values
Symmetry: I4mm
Spin magnetization: 0.0 μB/cell

a = 6.0692 Å, b = 6.0692 Å, c = 6.0692 Å
α = 140.98°, β = 140.98°, γ = 56.37°
Closest atoms and distances in Å follow each position.
Element x y z (fractional)
Y 0.0000 0.0000 0.0000  8 Al 3.08-3.22, 4 Be 3.10
Be 0.6095 0.6095 0.0000  5 Al 2.29-2.43
Al 0.2344 0.7344 0.5000  2 Be 2.43, 2 Al 2.66
Al 0.3953 0.3953 0.0000  1 Be 2.29
Al 0.7344 0.2344 0.5000  2 Be 2.43, 2 Al 2.66

=====

Version R
Here is an optimized crystal structure of YBeAl3 from Alexandria via LeMat-Bulk. Energies are from PBE.

Calculated values
Symmetry: Pm-3m
Spin magnetization: 0.0 μB/cell

a = 5.5318 Å, b = 5.5318 Å, c = 5.5318 Å
α = 90.00°, β = 90.00°, γ = 90.00°
Closest atoms and distances in Å follow each position.
Element x y z (fractional)
Y 0.0000 0.0000 0.0000  6 Al 2.77
Be 0.5000 0.5000 0.5000  12 Al 3.91
Al 0.0000 0.0000 0.5000  2 Y 2.77
Al 0.0000 0.5000 0.0000  2 Y 2.77
Al 0.5000 0.0000 0.0000  2 Y 2.77

=====

Which structure loses on stability? version R does.

=====

Version P
Here is an optimized crystal structure of BeAl2Zn from Alexandria via LeMat-Bulk. Energies are from PBE.

Calculated values
Symmetry: Immm
Spin magnetization: 0.0 μB/cell

a = 6.1516 Å, b = 6.1516 Å, c = 6.1516 Å
α = 154.91°, β = 141.72°, γ = 46.32°
Closest atoms and distances in Å follow each position.
Element x y z (fractional)
Be 0.0000 0.0000 0.0000  4 Zn 2.42, 4 Al 2.52, 2 Be 2.67
Al 0.1886 0.6886 0.5000  2 Be 2.52, 6 Al 2.67-2.79
Al 0.8114 0.3114 0.5000  2 Be 2.52, 6 Al 2.67-2.79
Zn 0.5000 0.5000 0.0000  4 Be 2.42, 2 Zn 2.67

=====

Version Q
Here is an optimized crystal structure of BeAl2Zn from Alexandria via LeMat-Bulk. Energies are from PBE.

Calculated values
Symmetry: Imm2
Spin magnetization: 0.0 μB/cell

a = 5.8867 Å, b = 5.8867 Å, c = 5.8867 Å
α = 153.74°, β = 138.48°, γ = 49.79°
Closest atoms and distances in Å follow each position.
Element x y z (fractional)
Be 0.0000 0.0000 0.0000  6 Al 2.48-2.51, 2 Zn 2.48, 2 Be 2.67
Al 0.5079 0.5079 0.0000  4 Be 2.48, 2 Al 2.67
Al 0.8013 0.3013 0.5000  2 Be 2.51, 2 Al 2.67, 4 Zn 2.72
Zn 0.1957 0.6957 0.5000  2 Be 2.48, 2 Zn 2.67, 4 Al 2.72

=====

Which structure loses on stability? version Q does.